The following is a GGA-PBE calculation of a relaxed structure of Ce2PmSmHg4, from Alexandria.

For the total energy, the calculation gives -3.1934 eV/atom.

The structure belongs to space group R-3m (No. 166, hexagonal axes); the cell edges are 5.3978, 5.3978 and 26.4883 Å and the angles 90.00°, 90.00° and 120.00°. Symmetry generates all atoms from Ce at (0.0000, 0.0000, 0.2500), Pm at (0.0000, 0.0000, 0.0000), Sm at (0.0000, 0.0000, 0.5000), Hg at (0.0000, 0.0000, 0.1253) and Hg at (0.0000, 0.0000, 0.3754).

=====

The following is a GGA-PBE calculation of a relaxed structure of CePm2Sn2Hg2, from Alexandria.

For the total energy, the calculation gives -3.7571 eV/atom.

The structure belongs to space group R-3m (No. 166, hexagonal axes); the cell edges are 5.0386, 5.0386 and 27.3894 Å and the angles 90.00°, 90.00° and 120.00°. Symmetry generates all atoms from Ce at (0.0000, 0.0000, 0.0000), Pm at (0.0000, 0.0000, 0.1301), Sn at (0.0000, 0.0000, 0.2705) and Hg at (0.0000, 0.0000, 0.4274).

=====

The following is a GGA-PBE calculation of a relaxed structure of Ce2PmSn2Hg2, from Alexandria.

For the total energy, the calculation gives -3.9121 eV/atom.

The structure belongs to space group R-3m (No. 166, hexagonal axes); the cell edges are 4.8572, 4.8572 and 28.0599 Å and the angles 90.00°, 90.00° and 120.00°. Symmetry generates all atoms from Ce at (0.0000, 0.0000, 0.1432), Pm at (0.0000, 0.0000, 0.0000), Sn at (0.0000, 0.0000, 0.2720) and Hg at (0.0000, 0.0000, 0.4285).